1.
{
  "formula": "Sn2RhS",
  "functional": "PBE",
  "state": "optimized geometry",
  "spacegroup": "I-42d (122)",
  "e_tot_ev_per_atom": -4.95,
  "magmom_total_mub_per_atom": 0.0000,
  "formation_energy_uncorrected_ev_per_fu": -0.332,
  "lattice_angstrom": [[-3.1982, 5.3040, 0.1950], [-5.3040, -3.2022, 0.1093], [-4.0701, 0.9480, 5.9181]],
  "species": ["Sn", "Sn", "Sn", "Sn", "S", "S", "Rh", "Rh"],
  "frac_coords": [[0.1025, 0.6250, 0.2500], [0.8750, 0.8975, 0.7500], [0.6475, 0.1250, 0.2500], [0.3750, 0.3525, 0.7500], [0.2500, 0.7500, 0.5000], [0.5000, 0.5000, 0.0000], [0.0000, 0.0000, 0.0000], [0.7500, 0.2500, 0.5000]]
}


2.
{
  "formula": "SnRhS3",
  "functional": "PBE",
  "state": "optimized geometry",
  "e_above_lowest_polymorph_mev_per_atom": 530,
  "spacegroup": "Pm-3m (221)",
  "e_tot_ev_per_atom": -4.60,
  "magmom_total_mub_per_atom": 0.0001,
  "formation_energy_uncorrected_ev_per_fu": 0.747,
  "lattice_angstrom": [[-0.0294, 4.2714, 1.9262], [-3.0968, 1.4279, -3.2136], [-3.5164, -1.2932, 2.8140]],
  "species": ["S", "S", "S", "Rh", "Sn"],
  "frac_coords": [[0.0000, 0.5000, 0.0000], [0.0000, 0.0000, 0.5000], [0.5000, 0.0000, 0.0000], [0.0000, 0.0000, 0.0000], [0.5000, 0.5000, 0.5000]]
}


3.
{
  "formula": "Sn4RhS8",
  "functional": "PBE",
  "state": "optimized geometry",
  "spacegroup": "R-3m (166)",
  "e_tot_ev_per_atom": -4.72,
  "magmom_total_mub_per_atom": 0.0000,
  "formation_energy_uncorrected_ev_per_fu": -4.919,
  "lattice_angstrom": [[-4.3004, 3.0274, 5.2478], [-4.0517, -4.4360, 4.3708], [1.9039, -0.7754, 7.1395]],
  "species": ["S", "S", "S", "S", "S", "S", "S", "S", "Sn", "Sn", "Sn", "Sn", "Rh"],
  "frac_coords": [[0.7316, 0.2762, 0.7316], [0.2762, 0.7316, 0.7316], [0.7238, 0.2684, 0.2684], [0.2684, 0.7238, 0.2684], [0.2684, 0.2684, 0.7238], [0.7489, 0.7489, 0.7489], [0.7316, 0.7316, 0.2762], [0.2511, 0.2511, 0.2511], [0.5000, 0.5000, 0.0000], [0.5000, 0.0000, 0.5000], [0.0000, 0.0000, 0.0000], [0.0000, 0.5000, 0.5000], [0.5000, 0.5000, 0.5000]]
}


4.
{
  "formula": "SrSn2RhS",
  "functional": "PBE",
  "state": "optimized geometry",
  "spacegroup": "P4/mmm (123)",
  "e_tot_ev_per_atom": -4.03,
  "magmom_total_mub_per_atom": 0.0000,
  "formation_energy_uncorrected_ev_per_fu": 1.033,
  "lattice_angstrom": [[5.1916, 0.0000, 0.0000], [0.0000, 5.3597, 0.0000], [0.0000, 0.0000, 5.1916]],
  "species": ["S", "Rh", "Sn", "Sn", "Sr"],
  "frac_coords": [[0.0000, 0.0000, 0.0000], [0.5000, 0.5000, 0.5000], [0.5000, 0.0000, 0.0000], [0.0000, 0.0000, 0.5000], [0.0000, 0.5000, 0.0000]]
}


5.
{
  "formula": "TiSn2RhS",
  "functional": "PBE",
  "state": "optimized geometry",
  "spacegroup": "P4/mmm (123)",
  "e_tot_ev_per_atom": -5.00,
  "magmom_total_mub_per_atom": 0.1598,
  "formation_energy_uncorrected_ev_per_fu": 2.378,
  "lattice_angstrom": [[-5.3018, 0.3976, 0.0473], [-0.1504, -1.3952, -5.1284], [-0.3076, -4.2401, 1.1626]],
  "species": ["Rh", "Sn", "Sn", "S", "Ti"],
  "frac_coords": [[0.5000, 0.5000, 0.5000], [0.5000, 0.0000, 0.0000], [0.0000, 0.5000, 0.0000], [0.0000, 0.0000, 0.5000], [0.0000, 0.0000, 0.0000]]
}


6.
{
  "formula": "SrRh2S",
  "functional": "PBE",
  "state": "optimized geometry",
  "spacegroup": "I-42d (122)",
  "e_tot_ev_per_atom": -5.66,
  "magmom_total_mub_per_atom": 0.0000,
  "formation_energy_uncorrected_ev_per_fu": -2.133,
  "lattice_angstrom": [[-3.2236, -1.0937, -3.5864], [-3.5661, -0.5665, 3.3781], [-5.1830, 6.5646, -0.7519]],
  "species": ["Sr", "Sr", "S", "S", "Rh", "Rh", "Rh", "Rh"],
  "frac_coords": [[0.0000, 0.0000, 0.0000], [0.7500, 0.2500, 0.5000], [0.5000, 0.5000, 0.0000], [0.2500, 0.7500, 0.5000], [0.3137, 0.6250, 0.2500], [0.3750, 0.5637, 0.7500], [0.4363, 0.1250, 0.2500], [0.8750, 0.6863, 0.7500]]
}


7.
{
  "formula": "SrRhS3",
  "functional": "PBE",
  "state": "optimized geometry",
  "e_above_lowest_polymorph_mev_per_atom": 0,
  "spacegroup": "Pm-3m (221)",
  "e_tot_ev_per_atom": -4.94,
  "magmom_total_mub_per_atom": 0.2841,
  "formation_energy_uncorrected_ev_per_fu": -3.263,
  "lattice_angstrom": [[4.7500, 0.0000, 0.0000], [0.0000, 4.7500, 0.0000], [0.0000, 0.0000, 4.7500]],
  "species": ["S", "S", "S", "Sr", "Rh"],
  "frac_coords": [[0.0000, 0.5000, 0.0000], [0.5000, 0.0000, 0.0000], [0.0000, 0.0000, 0.5000], [0.5000, 0.5000, 0.5000], [0.0000, 0.0000, 0.0000]]
}


8.
{
  "formula": "SrRhS",
  "functional": "PBE",
  "state": "optimized geometry",
  "spacegroup": "Amm2 (38)",
  "e_tot_ev_per_atom": -4.70,
  "magmom_total_mub_per_atom": 0.1003,
  "formation_energy_uncorrected_ev_per_fu": -0.949,
  "lattice_angstrom": [[3.6732, 0.0000, 0.0000], [-1.8366, 3.3268, 0.0000], [0.0000, 0.0000, 11.0989]],
  "species": ["Rh", "Rh", "Sr", "Sr", "S", "S"],
  "frac_coords": [[0.5941, 0.1881, 0.0000], [0.3222, 0.6443, 0.5000], [0.2721, 0.5442, 0.1905], [0.2721, 0.5442, 0.8095], [0.6031, 0.2062, 0.6256], [0.6031, 0.2062, 0.3744]]
}


9.
{
  "formula": "SrRhS3",
  "functional": "PBE",
  "state": "optimized geometry",
  "e_above_lowest_polymorph_mev_per_atom": 1593,
  "spacegroup": "Pm-3m (221)",
  "e_tot_ev_per_atom": -3.34,
  "magmom_total_mub_per_atom": 1.0000,
  "formation_energy_uncorrected_ev_per_fu": 4.702,
  "lattice_angstrom": [[5.4895, 0.0000, 0.0000], [0.0000, 5.4895, 0.0000], [0.0000, 0.0000, 5.4895]],
  "species": ["Sr", "S", "S", "S", "Rh"],
  "frac_coords": [[0.0000, 0.0000, 0.0000], [0.5000, 0.0000, 0.0000], [0.0000, 0.0000, 0.5000], [0.0000, 0.5000, 0.0000], [0.5000, 0.5000, 0.5000]]
}


10.
{
  "formula": "SrTe2RhS8",
  "functional": "PBE",
  "state": "optimized geometry",
  "spacegroup": "P-3 (147)",
  "e_tot_ev_per_atom": -4.22,
  "magmom_total_mub_per_atom": 0.0000,
  "formation_energy_uncorrected_ev_per_fu": -2.326,
  "lattice_angstrom": [[6.1758, 0.0000, 0.0000], [-3.0879, 5.3484, 0.0000], [0.0000, 0.0000, 8.5879]],
  "species": ["Te", "Te", "S", "S", "S", "S", "S", "S", "S", "S", "Rh", "Sr"],
  "frac_coords": [[0.6667, 0.3333, 0.2829], [0.3333, 0.6667, 0.7171], [0.0645, 0.7400, 0.3259], [0.7400, 0.6755, 0.6741], [0.6755, 0.9355, 0.3259], [0.9355, 0.2600, 0.6741], [0.2600, 0.3245, 0.3259], [0.6667, 0.3333, 0.0150], [0.3245, 0.0645, 0.6741], [0.3333, 0.6667, 0.9850], [0.0000, 0.0000, 0.5000], [0.0000, 0.0000, 0.0000]]
}


11.
{
  "formula": "SrURhS4",
  "functional": "PBE",
  "state": "optimized geometry",
  "spacegroup": "P2_1/m (11)",
  "e_tot_ev_per_atom": -6.47,
  "magmom_total_mub_per_atom": 0.1122,
  "formation_energy_uncorrected_ev_per_fu": -8.436,
  "lattice_angstrom": [[6.5113, 0.0000, 0.1222], [0.0000, 5.8321, 0.0000], [-2.3979, 0.0000, 7.8450]],
  "species": ["U", "U", "S", "S", "S", "S", "S", "S", "S", "S", "Rh", "Rh", "Sr", "Sr"],
  "frac_coords": [[0.7499, 0.7500, 0.4438], [0.2501, 0.2500, 0.5562], [0.4467, 0.7500, 0.1513], [0.5442, 0.2500, 0.3900], [0.4558, 0.7500, 0.6100], [0.0334, 0.5157, 0.7278], [0.5533, 0.2500, 0.8487], [0.9666, 0.4843, 0.2722], [0.0334, 0.9843, 0.7278], [0.9666, 0.0157, 0.2722], [0.2316, 0.7500, 0.3465], [0.7684, 0.2500, 0.6535], [0.7474, 0.7500, 0.9448], [0.2526, 0.2500, 0.0552]]
}


12.
{
  "formula": "SrU4Rh3S12",
  "functional": "PBE",
  "state": "optimized geometry",
  "spacegroup": "Im-3 (204)",
  "e_tot_ev_per_atom": -6.92,
  "magmom_total_mub_per_atom": 0.2501,
  "formation_energy_uncorrected_ev_per_fu": -20.074,
  "lattice_angstrom": [[-6.3382, 4.9177, 2.3282], [-2.0156, -3.9855, -7.0590], [1.5399, -5.5912, 6.0120]],
  "species": ["S", "S", "S", "S", "S", "S", "S", "S", "S", "S", "S", "S", "Sr", "U", "U", "U", "U", "Rh", "Rh", "Rh"],
  "frac_coords": [[0.1576, 0.8449, 0.6873], [0.1551, 0.3127, 0.8424], [0.8449, 0.6873, 0.1576], [0.4703, 0.3127, 0.1576], [0.3127, 0.1576, 0.4703], [0.1576, 0.4703, 0.3127], [0.3127, 0.8424, 0.1551], [0.6873, 0.8424, 0.5297], [0.5297, 0.6873, 0.8424], [0.8424, 0.5297, 0.6873], [0.6873, 0.1576, 0.8449], [0.8424, 0.1551, 0.3127], [0.0000, 0.0000, 0.0000], [0.0000, 0.0000, 0.5000], [0.5000, 0.0000, 0.0000], [0.0000, 0.5000, 0.0000], [0.5000, 0.5000, 0.5000], [0.5000, 0.5000, 0.0000], [0.0000, 0.5000, 0.5000], [0.5000, 0.0000, 0.5000]]
}


13.
{
  "formula": "Ta3RhS",
  "functional": "PBE",
  "state": "optimized geometry",
  "e_above_lowest_polymorph_mev_per_atom": 954,
  "spacegroup": "Pm-3m (221)",
  "e_tot_ev_per_atom": -8.13,
  "magmom_total_mub_per_atom": 0.0000,
  "formation_energy_uncorrected_ev_per_fu": 6.374,
  "lattice_angstrom": [[4.8150, 0.0000, 0.0000], [0.0000, 4.8150, 0.0000], [0.0000, 0.0000, 4.8150]],
  "species": ["Ta", "Ta", "Ta", "S", "Rh"],
  "frac_coords": [[0.0000, 0.5000, 0.0000], [0.0000, 0.0000, 0.5000], [0.5000, 0.0000, 0.0000], [0.5000, 0.5000, 0.5000], [0.0000, 0.0000, 0.0000]]
}


14.
{
  "formula": "TaRhS3",
  "functional": "PBE",
  "state": "optimized geometry",
  "e_above_lowest_polymorph_mev_per_atom": 435,
  "spacegroup": "Pm-3m (221)",
  "e_tot_ev_per_atom": -5.63,
  "magmom_total_mub_per_atom": 0.0000,
  "formation_energy_uncorrected_ev_per_fu": 3.435,
  "lattice_angstrom": [[4.5120, 0.0000, 0.0000], [0.0000, 4.5120, 0.0000], [0.0000, 0.0000, 4.5120]],
  "species": ["Ta", "Rh", "S", "S", "S"],
  "frac_coords": [[0.5000, 0.5000, 0.5000], [0.0000, 0.0000, 0.0000], [0.0000, 0.0000, 0.5000], [0.0000, 0.5000, 0.0000], [0.5000, 0.0000, 0.0000]]
}


15.
{
  "formula": "TaRhS2",
  "functional": "PBE",
  "state": "optimized geometry",
  "e_above_lowest_polymorph_mev_per_atom": 229,
  "spacegroup": "Fm-3m (225)",
  "e_tot_ev_per_atom": -7.18,
  "magmom_total_mub_per_atom": 0.0000,
  "formation_energy_uncorrected_ev_per_fu": -1.260,
  "lattice_angstrom": [[-3.4000, -1.9671, 1.8343], [-1.5881, 1.4704, 3.7563], [-3.8562, 1.9785, 0.0969]],
  "species": ["S", "S", "Ta", "Rh"],
  "frac_coords": [[0.7500, 0.7500, 0.7500], [0.2500, 0.2500, 0.2500], [0.5000, 0.5000, 0.5000], [0.0000, 0.0000, 0.0000]]
}


16.
{
  "formula": "TaRhS4",
  "functional": "PBE",
  "state": "optimized geometry",
  "spacegroup": "P2_1/c (14)",
  "e_tot_ev_per_atom": -6.46,
  "magmom_total_mub_per_atom": 0.0000,
  "formation_energy_uncorrected_ev_per_fu": -3.047,
  "lattice_angstrom": [[-4.8701, -0.2362, -3.3281], [3.3158, -0.1633, -4.8406], [0.1419, -5.9613, 0.2984]],
  "species": ["S", "S", "S", "S", "S", "S", "S", "S", "Ta", "Ta", "Rh", "Rh"],
  "frac_coords": [[0.1369, 0.8631, 0.6356], [0.6369, 0.6369, 0.6356], [0.1358, 0.3648, 0.8545], [0.6358, 0.1352, 0.8545], [0.8642, 0.6352, 0.1455], [0.8631, 0.1369, 0.3644], [0.3631, 0.3631, 0.3644], [0.3642, 0.8648, 0.1455], [0.5000, 0.5000, 0.0000], [0.0000, 0.0000, 0.0000], [0.0000, 0.5000, 0.5000], [0.5000, 0.0000, 0.5000]]
}


17.
{
  "formula": "TaRhS3",
  "functional": "PBE",
  "state": "optimized geometry",
  "e_above_lowest_polymorph_mev_per_atom": 0,
  "spacegroup": "Pm-3m (221)",
  "e_tot_ev_per_atom": -6.06,
  "magmom_total_mub_per_atom": 0.4279,
  "formation_energy_uncorrected_ev_per_fu": 1.262,
  "lattice_angstrom": [[4.7490, 0.0000, 0.0000], [0.0000, 4.7490, 0.0000], [0.0000, 0.0000, 4.7490]],
  "species": ["Ta", "Rh", "S", "S", "S"],
  "frac_coords": [[0.0000, 0.0000, 0.0000], [0.5000, 0.5000, 0.5000], [0.0000, 0.0000, 0.5000], [0.0000, 0.5000, 0.0000], [0.5000, 0.0000, 0.0000]]
}


18.
{
  "formula": "TaRhS2",
  "functional": "PBE",
  "state": "optimized geometry",
  "e_above_lowest_polymorph_mev_per_atom": 0,
  "spacegroup": "R-3m (166)",
  "e_tot_ev_per_atom": -7.41,
  "magmom_total_mub_per_atom": 0.0000,
  "formation_energy_uncorrected_ev_per_fu": -2.176,
  "lattice_angstrom": [[1.8373, 0.0000, 7.8296], [-0.9186, 1.5911, 7.8296], [-0.9186, -1.5911, 7.8296]],
  "species": ["S", "S", "Ta", "Rh"],
  "frac_coords": [[0.9033, 0.9033, 0.9033], [0.0967, 0.0967, 0.0967], [0.5000, 0.5000, 0.5000], [0.0000, 0.0000, 0.0000]]
}


19.
{
  "formula": "TaRhS",
  "functional": "PBE",
  "state": "optimized geometry",
  "spacegroup": "P-6m2 (187)",
  "e_tot_ev_per_atom": -8.25,
  "magmom_total_mub_per_atom": 0.0000,
  "formation_energy_uncorrected_ev_per_fu": -1.407,
  "lattice_angstrom": [[3.2673, 0.0000, 0.0000], [-1.6336, 2.8295, 0.0000], [0.0000, 0.0000, 10.9052]],
  "species": ["Ta", "Ta", "S", "S", "Rh", "Rh"],
  "frac_coords": [[0.0000, 0.0000, 0.0000], [0.3333, 0.6667, 0.5000], [0.3333, 0.6667, 0.8528], [0.3333, 0.6667, 0.1472], [0.0000, 0.0000, 0.6626], [0.0000, 0.0000, 0.3374]]
}


20.
{
  "formula": "Ta3RhS",
  "functional": "PBE",
  "state": "optimized geometry",
  "e_above_lowest_polymorph_mev_per_atom": 0,
  "spacegroup": "Pm-3m (221)",
  "e_tot_ev_per_atom": -9.09,
  "magmom_total_mub_per_atom": 0.0000,
  "formation_energy_uncorrected_ev_per_fu": 1.606,
  "lattice_angstrom": [[-1.2534, -4.0216, -1.5783], [3.3237, 0.1523, -3.0275], [2.7600, -2.0097, 2.9290]],
  "species": ["Rh", "Ta", "Ta", "Ta", "S"],
  "frac_coords": [[0.5000, 0.5000, 0.5000], [0.0000, 0.5000, 0.0000], [0.0000, 0.0000, 0.5000], [0.5000, 0.0000, 0.0000], [0.0000, 0.0000, 0.0000]]
}